PrHfPO | PBE-GGA | optimized geometry

Results
Excess energy over the best structure of this formula in the dataset: 70 meV/atom

a b c (Å): 3.942 6.149 6.667
angles (deg): 90.00 90.00 90.00
Space group Pmc2_1 (No. 26)
Unique sites:
Pr 0.000 0.224 0.000 (multiplicity 2)
Hf 0.500 0.307 0.423 (multiplicity 2)
P 0.500 0.047 0.718 (multiplicity 2)
O 0.000 0.395 0.379 (multiplicity 2)

---

HfPPtO | PBE-GGA | optimized geometry

Results
Excess energy over the best structure of this formula in the dataset: 143 meV/atom

a b c (Å): 3.476 6.318 6.502
angles (deg): 90.00 90.00 90.00
Space group Pmc2_1 (No. 26)
Unique sites:
Hf 0.000 0.126 0.000 (multiplicity 2)
P 0.000 0.270 0.379 (multiplicity 2)
Pt 0.500 0.234 0.611 (multiplicity 2)
O 0.500 0.272 0.951 (multiplicity 2)

---

HfPPtO | PBE-GGA | optimized geometry

Results
Excess energy over the best structure of this formula in the dataset: 0 meV/atom

a b c (Å): 3.736 3.736 7.964
angles (deg): 90.00 90.00 90.00
Space group P4/nmm (No. 129, origin choice 2)
Unique sites:
Hf 0.250 0.250 0.153 (multiplicity 2)
P 0.250 0.250 0.709 (multiplicity 2)
Pt 0.250 0.750 0.500 (multiplicity 2)
O 0.250 0.750 0.000 (multiplicity 2)

---

HfPPtO | PBE-GGA | optimized geometry

Results
Excess energy over the best structure of this formula in the dataset: 563 meV/atom

a b c (Å): 3.729 3.729 4.443
angles (deg): 90.00 90.00 90.00
Space group P4/mmm (No. 123)
Unique sites:
Hf 0.000 0.000 0.000 (multiplicity 1)
P 0.500 0.500 0.000 (multiplicity 1)
Pt 0.500 0.500 0.500 (multiplicity 1)
O 0.000 0.000 0.500 (multiplicity 1)

---

HfPPtO | PBE-GGA | optimized geometry

Results
Excess energy over the best structure of this formula in the dataset: 106 meV/atom

a b c (Å): 3.631 5.651 7.039
angles (deg): 90.00 90.00 90.00
Space group Pmc2_1 (No. 26)
Unique sites:
Hf 0.000 0.114 0.000 (multiplicity 2)
P 0.500 0.255 0.389 (multiplicity 2)
Pt 0.500 0.435 0.102 (multiplicity 2)
O 0.000 0.106 0.719 (multiplicity 2)

---

RbHfPO | PBE-GGA | optimized geometry

Results
Excess energy over the best structure of this formula in the dataset: 1159 meV/atom

a b c (Å): 4.496 4.496 11.099
angles (deg): 90.00 90.00 90.00
Space group P4/nmm (No. 129, origin choice 2)
Unique sites:
Rb 0.250 0.250 0.141 (multiplicity 2)
Hf 0.250 0.750 0.500 (multiplicity 2)
P 0.250 0.250 0.608 (multiplicity 2)
O 0.250 0.750 0.000 (multiplicity 2)

---

Calculated theoretical density in order - 7.53 9.78 12.56 11.30 9.67 4.60 g/cm3